# YNbAg

A relaxed YNbAg crystal (PBE, OQMD).

Results
* ΔE_f: 2.068 eV per formula unit
* polymorph energy (0 for the lowest one): 0.000 eV/atom

Cell lengths 4.741, 4.741, 4.741 Å; angles 60.00, 60.00, 60.00 degrees
Fractional coordinates of all 3 atoms:
Y  0.000  0.000  0.000
Nb  0.500  0.500  0.500
Ag  0.750  0.750  0.750